1.
This record from Alexandria via LeMat-Bulk describes a relaxed Ti4Re3Tc crystal. The functional is PBE.

Geometry as POSCAR:
```
Ti4Re3Tc
1.0
-3.024 -0.107 -0.729
-0.035 -3.056 0.593
-2.947 2.339 11.876
Ti Re Tc
4 3 1
Direct
0.000 0.000 0.375
0.000 0.000 0.124
0.000 0.000 0.876
0.000 0.000 0.625
0.500 0.500 0.750
0.500 0.500 0.250
0.500 0.500 0.500
0.500 0.500 0.000
```

Summary:
Magnetic moment ... 0.0 μB per formula unit
Raw total energy ... -10.3235 eV/atom
Formation enthalpy at 0 K ... -0.412 eV/atom

---

2.
This record from Alexandria via LeMat-Bulk describes a relaxed Ti3Re3Tc crystal. The functional is PBE.

Geometry as POSCAR:
```
Ti3Re3Tc
1.0
-2.759 1.138 5.291
4.030 -3.206 3.222
3.429 5.021 0.707
Tc Re Ti
2 6 6
Direct
0.765 0.765 0.000
0.235 0.235 0.000
0.680 0.320 0.500
0.737 0.737 0.500
0.263 0.263 0.500
0.286 0.714 0.000
0.320 0.680 0.500
0.714 0.286 0.000
0.000 0.000 0.750
0.000 0.000 0.250
0.000 0.500 0.758
0.000 0.500 0.242
0.500 0.000 0.758
0.500 0.000 0.242
```

Summary:
Magnetic moment ... 0.0 μB per formula unit
Raw total energy ... -10.0819 eV/atom
Formation enthalpy at 0 K ... 0.117 eV/atom

---

3.
This record from Alexandria via LeMat-Bulk describes a relaxed Ti6Re5Tc crystal. The functional is PBE.

Geometry as POSCAR:
```
Ti6Re5Tc
1.0
-3.034 1.124 2.990
2.663 -3.820 4.137
5.384 4.371 0.570
Re Ti Tc
5 6 1
Direct
0.000 0.500 0.000
0.667 0.000 0.335
0.333 0.000 0.665
0.334 0.500 0.667
0.666 0.500 0.333
0.834 0.250 0.667
0.834 0.750 0.667
0.500 0.751 0.000
0.166 0.750 0.333
0.166 0.250 0.333
0.500 0.249 0.000
0.000 0.000 0.000
```

Summary:
Magnetic moment ... 0.0 μB per formula unit
Raw total energy ... -10.4085 eV/atom
Formation enthalpy at 0 K ... -0.411 eV/atom

---

4.
This record from Alexandria via LeMat-Bulk describes a relaxed Ti5ReTc4 crystal. The functional is PBE.

Geometry as POSCAR:
```
Ti5ReTc4
1.0
3.107 0.000 0.000
0.000 3.107 0.000
0.000 0.000 15.522
Tc Ti Re
4 5 1
Direct
0.000 0.000 0.201
0.000 0.000 0.600
0.000 0.000 0.799
0.000 0.000 0.400
0.500 0.500 0.899
0.500 0.500 0.500
0.500 0.500 0.101
0.500 0.500 0.300
0.500 0.500 0.700
0.000 0.000 0.000
```

Summary:
Magnetic moment ... 0.0 μB per formula unit
Raw total energy ... -9.8101 eV/atom
Formation enthalpy at 0 K ... -0.471 eV/atom

---

5.
This record from Alexandria via LeMat-Bulk describes a relaxed Ti5Re2Tc crystal. The functional is PBE.

Geometry as POSCAR:
```
Ti5Re2Tc
1.0
4.447 0.000 0.000
0.000 5.396 0.000
0.000 0.000 10.478
Re Ti Tc
4 10 2
Direct
0.500 0.836 0.130
0.500 0.336 0.370
0.500 0.164 0.870
0.500 0.664 0.630
0.000 0.862 0.733
0.500 0.167 0.613
0.000 0.362 0.767
0.500 0.833 0.387
0.000 0.000 0.000
0.000 0.638 0.233
0.500 0.667 0.887
0.000 0.138 0.267
0.000 0.500 0.500
0.500 0.333 0.113
0.000 0.000 0.500
0.000 0.500 0.000
```

Summary:
Magnetic moment ... 0.0 μB per formula unit
Raw total energy ... -9.6526 eV/atom
Formation enthalpy at 0 K ... -0.311 eV/atom

---

6.
This record from Alexandria via LeMat-Bulk describes a relaxed Ti3Re3Tc2 crystal. The functional is PBE.

Geometry as POSCAR:
```
Ti3Re3Tc2
1.0
-3.316 -0.881 -2.716
0.147 -4.238 1.195
-4.052 1.149 4.574
Ti Re Tc
3 3 2
Direct
0.500 0.000 0.000
0.500 0.000 0.500
0.000 0.500 0.500
0.500 0.500 0.248
0.000 0.500 0.000
0.500 0.500 0.752
0.000 0.000 0.248
0.000 0.000 0.752
```

Summary:
Magnetic moment ... 0.0 μB per formula unit
Raw total energy ... -10.6406 eV/atom
Formation enthalpy at 0 K ... -0.420 eV/atom